Below is an optimized crystal structure of Tm3CuRh2, with properties calculated at the PBE-GGA level.

a = 4.805 Å, b = 4.805 Å, c = 11.759 Å
α = 90.00°, β = 90.00°, γ = 120.00°
Element x y z (fractional)
Tm: 0.000 0.000 0.248
Tm: 0.000 0.000 0.752
Tm: 0.333 0.667 0.416
Tm: 0.333 0.667 0.918
Tm: 0.667 0.333 0.082
Tm: 0.667 0.333 0.584
Cu: 0.333 0.667 0.668
Cu: 0.667 0.333 0.332
Rh: 0.000 0.000 0.000
Rh: 0.000 0.000 0.500
Rh: 0.333 0.667 0.167
Rh: 0.667 0.333 0.833

Space group = P-3m1
Formation energy = -4.477 eV/f.u.
Volume = 19.6 Å³ per atom
DFT total energy = -6.115 eV/atom

***

Below is an optimized crystal structure of Ce2PaMnC4, with properties calculated at the PBE-GGA level.

a = 5.980 Å, b = 5.980 Å, c = 12.239 Å
α = 90.00°, β = 90.00°, γ = 146.41°
Element x y z (fractional)
Ce: 0.138 0.862 0.545
Ce: 0.138 0.862 0.955
Ce: 0.862 0.138 0.045
Ce: 0.862 0.138 0.455
Pa: 0.404 0.596 0.750
Pa: 0.596 0.404 0.250
Mn: 0.334 0.666 0.250
Mn: 0.666 0.334 0.750
C: 0.071 0.929 0.750
C: 0.221 0.779 0.144
C: 0.221 0.779 0.356
C: 0.500 0.500 0.000
C: 0.500 0.500 0.500
C: 0.779 0.221 0.644
C: 0.779 0.221 0.856
C: 0.929 0.071 0.250

Space group = Cmcm
Formation energy = -0.187 eV/f.u.
Volume = 15.1 Å³ per atom
DFT total energy = -8.452 eV/atom

***

Below is an optimized crystal structure of Hg6PdAu12, with properties calculated at the PBE-GGA level.

a = 7.333 Å, b = 7.333 Å, c = 7.333 Å
α = 95.66°, β = 95.66°, γ = 95.66°
Element x y z (fractional)
Hg: 0.261 0.715 0.716
Hg: 0.284 0.739 0.285
Hg: 0.285 0.284 0.739
Hg: 0.715 0.716 0.261
Hg: 0.716 0.261 0.715
Hg: 0.739 0.285 0.284
Pd: 0.500 0.500 0.500
Au: 0.008 0.009 0.299
Au: 0.009 0.299 0.008
Au: 0.119 0.396 0.396
Au: 0.299 0.008 0.009
Au: 0.396 0.119 0.396
Au: 0.396 0.396 0.119
Au: 0.604 0.604 0.881
Au: 0.604 0.881 0.604
Au: 0.701 0.992 0.991
Au: 0.881 0.604 0.604
Au: 0.991 0.701 0.992
Au: 0.992 0.991 0.701

Space group = R-3
Formation energy = 1.076 eV/f.u.
Volume = 20.4 Å³ per atom
DFT total energy = -2.382 eV/atom

***

Below is an optimized crystal structure of YCoC, with properties calculated at the PBE-GGA level.

a = 5.143 Å, b = 5.143 Å, c = 5.143 Å
α = 113.09°, β = 91.61°, γ = 125.43°
Element x y z (fractional)
Y: 0.000 0.000 0.000
Y: 0.500 0.000 0.500
Co: 0.278 0.528 0.750
Co: 0.722 0.472 0.250
C: 0.500 0.000 0.000
C: 0.500 0.500 0.500

Space group = Imma
Formation energy = -0.352 eV/f.u.
Volume = 16.0 Å³ per atom
DFT total energy = -7.715 eV/atom
Offset from the most stable computed form = 0.197 eV per atom

***

Below is an optimized crystal structure of MgZrCd2, with properties calculated at the PBE-GGA level.

a = 4.936 Å, b = 4.936 Å, c = 4.936 Å
α = 60.00°, β = 60.00°, γ = 60.00°
Element x y z (fractional)
Mg: 0.000 0.000 0.000
Zr: 0.250 0.250 0.250
Cd: 0.500 0.500 0.500
Cd: 0.750 0.750 0.750

Space group = F-43m
Formation energy = 0.205 eV/f.u.
Volume = 21.3 Å³ per atom
DFT total energy = -2.942 eV/atom

***

Below is an optimized crystal structure of Li2TaRu, with properties calculated at the PBE-GGA level.

a = 4.606 Å, b = 4.606 Å, c = 5.308 Å
α = 95.37°, β = 95.37°, γ = 34.36°
Element x y z (fractional)
Li: 0.000 0.000 0.000
Li: 0.245 0.245 0.794
Ta: 0.756 0.756 0.322
Ru: 0.507 0.507 0.502

Space group = Cm
Formation energy = 0.954 eV/f.u.
Volume = 15.8 Å³ per atom
DFT total energy = -6.000 eV/atom
Offset from the most stable computed form = 0.150 eV per atom

***

Below is an optimized crystal structure of TlCu, with properties calculated at the PBE-GGA level.

a = 6.263 Å, b = 6.263 Å, c = 4.513 Å
α = 108.09°, β = 108.09°, γ = 29.48°
Element x y z (fractional)
Tl: 0.108 0.108 0.340
Tl: 0.892 0.892 0.660
Cu: 0.332 0.332 0.111
Cu: 0.668 0.668 0.889

Space group = C2/m
Formation energy = 0.590 eV/f.u.
Volume = 20.6 Å³ per atom
DFT total energy = -2.936 eV/atom

***

Below is an optimized crystal structure of NaGa9Pd3, with properties calculated at the PBE-GGA level.

a = 6.948 Å, b = 6.948 Å, c = 6.980 Å
α = 98.22°, β = 98.22°, γ = 133.85°
Element x y z (fractional)
Na: 0.000 0.000 0.000
Ga: 0.000 0.000 0.500
Ga: 0.003 0.645 0.656
Ga: 0.294 0.508 0.792
Ga: 0.355 0.997 0.344
Ga: 0.492 0.706 0.208
Ga: 0.508 0.294 0.792
Ga: 0.645 0.003 0.656
Ga: 0.706 0.492 0.208
Ga: 0.997 0.355 0.344
Pd: 0.000 0.500 0.000
Pd: 0.500 0.000 0.000
Pd: 0.500 0.500 0.500

Space group = C2/m
Formation energy = -3.962 eV/f.u.
Volume = 17.4 Å³ per atom
DFT total energy = -3.700 eV/atom

***

Below is an optimized crystal structure of RePd3Se, with properties calculated at the PBE-GGA level.

a = 4.648 Å, b = 4.648 Å, c = 4.648 Å
α = 90.00°, β = 90.00°, γ = 90.00°
Element x y z (fractional)
Re: 0.000 0.000 0.000
Pd: 0.000 0.500 0.500
Pd: 0.500 0.000 0.500
Pd: 0.500 0.500 0.000
Se: 0.500 0.500 0.500

Space group = Pm-3m
Volume = 20.1 Å³ per atom
Energy relative to the elements, uncorrected = 0.990 eV per atom
DFT total energy = -5.312 eV/atom
Offset from the most stable computed form = 0.000 eV per atom

***

Below is an optimized crystal structure of Ag7S2Br3, with properties calculated at the PBE-GGA level.

a = 12.434 Å, b = 12.434 Å, c = 4.591 Å
α = 91.31°, β = 91.31°, γ = 156.80°
Element x y z (fractional)
Ag: 0.000 0.000 0.000
Ag: 0.138 0.862 0.500
Ag: 0.218 0.782 0.000
Ag: 0.424 0.576 0.000
Ag: 0.576 0.424 0.000
Ag: 0.782 0.218 0.000
Ag: 0.862 0.138 0.500
S: 0.103 0.897 0.000
S: 0.897 0.103 0.000
Br: 0.299 0.701 0.500
Br: 0.500 0.500 0.500
Br: 0.701 0.299 0.500

Space group = C2/m
Volume = 23.2 Å³ per atom
Energy relative to the elements, uncorrected = -0.092 eV per atom
DFT total energy = -2.861 eV/atom

***

Below is an optimized crystal structure of PaReO6F2, with properties calculated at the PBE-GGA level.

a = 5.486 Å, b = 5.559 Å, c = 5.600 Å
α = 62.88°, β = 69.29°, γ = 69.30°
Element x y z (fractional)
Pa: 0.000 0.000 0.000
Re: 0.545 0.504 0.484
O: 0.292 0.775 0.308
O: 0.334 0.263 0.712
O: 0.368 0.693 0.815
O: 0.729 0.807 0.340
O: 0.739 0.340 0.251
O: 0.795 0.337 0.718
F: 0.252 0.478 0.070
F: 0.862 0.827 0.828

Space group = P1
Volume = 13.8 Å³ per atom
Energy relative to the elements, uncorrected = -2.019 eV per atom
DFT total energy = -7.563 eV/atom

***

Below is an optimized crystal structure of Be2CuTe, with properties calculated at the PBE-GGA level.

a = 5.217 Å, b = 5.217 Å, c = 5.217 Å
α = 139.82°, β = 139.82°, γ = 58.13°
Element x y z (fractional)
Be: 0.000 0.000 0.000
Be: 0.750 0.250 0.500
Cu: 0.250 0.750 0.500
Te: 0.500 0.500 0.000

Space group = I-4m2
Volume = 14.6 Å³ per atom
Energy relative to the elements, uncorrected = 0.581 eV per atom
DFT total energy = -3.091 eV/atom

***

Below is an optimized crystal structure of Mo2IrBr, with properties calculated at the PBE-GGA level.

a = 5.055 Å, b = 5.055 Å, c = 2.895 Å
α = 97.06°, β = 97.06°, γ = 115.80°
Element x y z (fractional)
Mo: 0.000 0.500 0.000
Mo: 0.500 0.000 0.000
Ir: 0.000 0.000 0.500
Br: 0.500 0.500 0.500

Space group = C2/m
Volume = 16.2 Å³ per atom
Energy relative to the elements, uncorrected = 0.781 eV per atom
DFT total energy = -7.268 eV/atom
Offset from the most stable computed form = 0.394 eV per atom

***

Below is an optimized crystal structure of Ba2TaTl, with properties calculated at the PBE-GGA level.

a = 3.933 Å, b = 3.933 Å, c = 9.688 Å
α = 90.00°, β = 90.00°, γ = 90.00°
Element x y z (fractional)
Ba: 0.000 0.000 0.000
Ba: 0.500 0.500 0.400
Ta: 0.000 0.000 0.656
Tl: 0.500 0.500 0.753

Space group = P4mm
Formation energy = 2.157 eV/f.u.
Volume = 37.5 Å³ per atom
DFT total energy = -3.977 eV/atom
Offset from the most stable computed form = 0.000 eV per atom

***

Below is an optimized crystal structure of La4B3PtRh12, with properties calculated at the PBE-GGA level.

a = 7.659 Å, b = 7.659 Å, c = 7.659 Å
α = 109.47°, β = 109.47°, γ = 109.47°
Element x y z (fractional)
La: 0.000 0.000 0.500
La: 0.000 0.500 0.000
La: 0.500 0.000 0.000
La: 0.500 0.500 0.500
B: 0.000 0.500 0.500
B: 0.500 0.000 0.500
B: 0.500 0.500 0.000
Pt: 0.000 0.000 0.000
Rh: 0.000 0.281 0.281
Rh: 0.000 0.719 0.719
Rh: 0.250 0.500 0.750
Rh: 0.250 0.750 0.500
Rh: 0.281 0.000 0.281
Rh: 0.281 0.281 0.000
Rh: 0.500 0.250 0.750
Rh: 0.500 0.750 0.250
Rh: 0.719 0.000 0.719
Rh: 0.719 0.719 0.000
Rh: 0.750 0.250 0.500
Rh: 0.750 0.500 0.250

Space group = Im-3m
Formation energy = -9.748 eV/f.u.
Volume = 17.3 Å³ per atom
DFT total energy = -7.187 eV/atom

***

Below is an optimized crystal structure of SmErAl2, with properties calculated at the PBE-GGA level.

a = 3.624 Å, b = 3.624 Å, c = 7.222 Å
α = 90.00°, β = 90.00°, γ = 90.00°
Element x y z (fractional)
Sm: 0.000 0.000 0.000
Er: 0.000 0.000 0.500
Al: 0.500 0.500 0.263
Al: 0.500 0.500 0.737

Space group = P4/mmm
Formation energy = -1.549 eV/f.u.
Volume = 23.7 Å³ per atom
DFT total energy = -4.579 eV/atom
Offset from the most stable computed form = 0.000 eV per atom

***

Below is an optimized crystal structure of YScZnCd, with properties calculated at the PBE-GGA level.

a = 3.497 Å, b = 3.497 Å, c = 7.331 Å
α = 90.00°, β = 90.00°, γ = 90.00°
Element x y z (fractional)
Y: 0.000 0.000 0.000
Sc: 0.000 0.000 0.460
Zn: 0.500 0.500 0.255
Cd: 0.500 0.500 0.709

Space group = P4mm
Formation energy = -1.369 eV/f.u.
Volume = 22.4 Å³ per atom
DFT total energy = -4.088 eV/atom
Offset from the most stable computed form = 0.000 eV per atom

***

Below is an optimized crystal structure of Zr4OsRu, with properties calculated at the PBE-GGA level.

a = 4.559 Å, b = 4.559 Å, c = 6.419 Å
α = 90.09°, β = 90.09°, γ = 90.00°
Element x y z (fractional)
Zr: 0.000 0.500 0.249
Zr: 0.000 0.500 0.751
Zr: 0.500 0.000 0.249
Zr: 0.500 0.000 0.751
Os: 0.000 0.000 0.000
Ru: 0.500 0.500 0.500

Space group = C2/m
Formation energy = -1.228 eV/f.u.
Volume = 22.2 Å³ per atom
DFT total energy = -9.321 eV/atom
Offset from the most stable computed form = 0.161 eV per atom

***

Below is an optimized crystal structure of TiZnBr2, with properties calculated at the PBE-GGA level.

a = 4.972 Å, b = 4.972 Å, c = 4.972 Å
α = 60.00°, β = 60.00°, γ = 60.00°
Element x y z (fractional)
Ti: 0.000 0.000 0.000
Zn: 0.500 0.500 0.500
Br: 0.250 0.250 0.250
Br: 0.750 0.750 0.750

Space group = Fm-3m
Volume = 21.7 Å³ per atom
Energy relative to the elements, uncorrected = -0.105 eV per atom
DFT total energy = -3.234 eV/atom
Offset from the most stable computed form = 0.439 eV per atom

***

Below is an optimized crystal structure of SmHo5Er2, with properties calculated at the PBE-GGA level.

a = 7.065 Å, b = 14.132 Å, c = 4.986 Å
α = 90.00°, β = 90.00°, γ = 90.00°
Element x y z (fractional)
Sm: 0.000 0.000 0.000
Sm: 0.500 0.500 0.000
Ho: 0.000 0.500 0.000
Ho: 0.001 0.251 0.000
Ho: 0.249 0.626 0.500
Ho: 0.251 0.126 0.500
Ho: 0.499 0.751 0.000
Ho: 0.500 0.000 0.000
Ho: 0.501 0.249 0.000
Ho: 0.749 0.874 0.500
Ho: 0.751 0.374 0.500
Ho: 0.999 0.749 0.000
Er: 0.250 0.374 0.500
Er: 0.250 0.874 0.500
Er: 0.750 0.126 0.500
Er: 0.750 0.626 0.500

Space group = Pbam
Formation energy = 0.141 eV/f.u.
Volume = 31.1 Å³ per atom
DFT total energy = -4.574 eV/atom
Offset from the most stable computed form = 0.000 eV per atom